Below is crystalline CsHfAgS3 at its relaxed geometry, with properties calculated at the PBE-GGA level.

Unit cell a=8.7795 b=8.7795 c=7.4065 alpha=109.95 beta=109.95 gamma=52.75
Closest atoms and distances in Å follow each position.
Atoms (fractional coordinates):
Cs 0.1806 0.1806 0.2449  4 S 3.64-3.68
Cs 0.8194 0.8194 0.7551  4 S 3.64-3.68
Hf 0.4314 0.4314 0.1272  4 S 2.38-2.47
Hf 0.5686 0.5686 0.8728  4 S 2.38-2.47
Ag 0.2591 0.7409 0.5000  2 S 2.37
Ag 0.7409 0.2591 0.5000  2 S 2.37
S 0.1155 0.6195 0.2063  1 Ag 2.37, 1 Hf 2.38
S 0.3805 0.8845 0.7937  1 Ag 2.37, 1 Hf 2.38
S 0.4002 0.4002 0.7779  2 Hf 2.44-2.47
S 0.5998 0.5998 0.2221  2 Hf 2.44-2.47
S 0.6195 0.1155 0.2063  1 Ag 2.37, 1 Hf 2.38
S 0.8845 0.3805 0.7937  1 Ag 2.37, 1 Hf 2.38

- Crystal system: monoclinic
- Energy relative to the elements, uncorrected: -1.092 eV per atom

Below is crystalline Li2TlRu at its relaxed geometry, with properties calculated at the PBE-GGA level.

Unit cell a=3.9609 b=3.9609 c=4.0662 alpha=90.00 beta=90.00 gamma=90.00
Closest atoms and distances in Å follow each position.
Atoms (fractional coordinates):
Li 0.0000 0.5000 0.0000  4 Li 2.80, 4 Tl 2.84, 4 Ru 2.84
Li 0.5000 0.0000 0.0000  4 Li 2.80, 4 Tl 2.84, 4 Ru 2.84
Tl 0.0000 0.0000 0.5000  4 Ru 2.80, 8 Li 2.84
Ru 0.5000 0.5000 0.5000  4 Tl 2.80, 8 Li 2.84

- Crystal system: tetragonal
- Energy of formation: 0.48 eV/f.u.
- N(E_F): 2.47 states/eV per cell

Below is crystalline La5Nd2SmTm at its relaxed geometry, with properties calculated at the PBE-GGA level.

Unit cell a=10.3001 b=10.3001 c=10.3001 alpha=128.67 beta=128.67 gamma=75.55
Closest atoms and distances in Å follow each position.
Atoms (fractional coordinates):
La 0.0000 0.0000 0.0000  4 Nd 3.57, 8 La 3.94
La 0.0736 0.5736 0.9328  1 Nd 3.13, 1 Tm 3.24
La 0.1408 0.0736 0.5000  1 Nd 3.13, 1 Tm 3.24
La 0.3592 0.8592 0.9328  1 Nd 3.13, 1 Tm 3.24
La 0.4264 0.3592 0.5000  1 Nd 3.13, 1 Tm 3.24
La 0.5000 0.5000 0.0000  4 Nd 3.57, 8 La 3.94
La 0.5736 0.6408 0.5000  1 Nd 3.13, 1 Tm 3.24
La 0.6408 0.1408 0.0672  1 Nd 3.13, 1 Tm 3.24
La 0.8592 0.9264 0.5000  1 Nd 3.13, 1 Tm 3.24
La 0.9264 0.4264 0.0672  1 Nd 3.13, 1 Tm 3.24
Nd 0.1179 0.3821 0.5000  1 Nd 2.97, 2 La 3.13
Nd 0.3821 0.8821 0.2643  1 Nd 2.97, 2 La 3.13
Nd 0.6179 0.1179 0.7357  1 Nd 2.97, 2 La 3.13
Nd 0.8821 0.6179 0.5000  1 Nd 2.97, 2 La 3.13
Sm 0.2500 0.2500 0.0000  8 La 3.63
Sm 0.7500 0.7500 0.0000  8 La 3.63
Tm 0.2500 0.7500 0.5000  4 La 3.24
Tm 0.7500 0.2500 0.5000  4 La 3.24

- Crystal system: tetragonal
- Energy of formation: 2.43 eV/f.u.
- N(E_F): 34.51 states/eV per cell

Below is crystalline AcSi4Ir6 at its relaxed geometry, with properties calculated at the PBE-GGA level.

Unit cell a=7.1088 b=7.1088 c=3.9123 alpha=90.00 beta=90.00 gamma=120.00
Closest atoms and distances in Å follow each position.
Atoms (fractional coordinates):
Ac 0.0000 0.0000 0.0000  6 Ir 3.16, 6 Si 3.16
Si 0.3333 0.6667 0.0000  9 Ir 2.45-2.55
Si 0.4036 0.2018 0.5000  6 Ir 2.48-2.55
Si 0.7982 0.2018 0.5000  6 Ir 2.48-2.55
Si 0.7982 0.5964 0.5000  6 Ir 2.48-2.55
Ir 0.2011 0.4022 0.5000  4 Si 2.48-2.55
Ir 0.2011 0.7989 0.5000  4 Si 2.48-2.55
Ir 0.5327 0.0653 0.0000  5 Si 2.45-2.55
Ir 0.5327 0.4673 0.0000  5 Si 2.45-2.55
Ir 0.5978 0.7989 0.5000  4 Si 2.48-2.55
Ir 0.9347 0.4673 0.0000  5 Si 2.45-2.55

- Crystal system: hexagonal
- Energy relative to the elements, uncorrected: -0.780 eV per atom
- N(E_F): 2.97 states/eV per cell

Below is crystalline LiHgPO4 at its relaxed geometry, with properties calculated at the PBE-GGA level.

Unit cell a=5.2599 b=5.2599 c=5.2599 alpha=121.85 beta=121.85 gamma=86.82
Closest atoms and distances in Å follow each position.
Atoms (fractional coordinates):
Li 0.0000 0.0000 0.0000  4 O 2.00
Hg 0.5000 0.5000 0.0000  4 O 2.30
P 0.7500 0.2500 0.5000  4 O 1.56
O 0.0175 0.5659 0.8541  1 P 1.56
O 0.4341 0.2882 0.4516  1 P 1.56
O 0.7118 0.1634 0.1459  1 P 1.56
O 0.8366 0.9825 0.5484  1 P 1.56

- Crystal system: tetragonal
- Energy relative to the elements, uncorrected: -1.770 eV per atom
- N(E_F): 0.00 states/eV per cell

Below is crystalline Pm3Sm4Tm8 at its relaxed geometry, with properties calculated at the PBE-GGA level.

Unit cell a=9.2608 b=9.2608 c=6.7184 alpha=111.26 beta=111.26 gamma=87.68
Closest atoms and distances in Å follow each position.
Atoms (fractional coordinates):
Pm 0.0000 0.0000 0.0000  6 Tm 3.14-3.21
Pm 0.0000 0.5000 0.0000  4 Tm 3.21-3.34, 2 Sm 3.36
Pm 0.5000 0.0000 0.0000  4 Tm 3.21-3.34, 2 Sm 3.36
Sm 0.0000 0.5000 0.5000  4 Tm 3.21-3.34, 2 Pm 3.36
Sm 0.5000 0.0000 0.5000  4 Tm 3.21-3.34, 2 Pm 3.36
Sm 0.5000 0.5000 0.0000  6 Tm 3.27-3.48, 2 Sm 3.36
Sm 0.5000 0.5000 0.5000  2 Sm 3.36, 4 Tm 3.54-3.55
Tm 0.1381 0.8619 0.5000  7 Tm 3.54-3.63, 2 Sm 3.64, 4 Pm 3.64-3.80
Tm 0.2332 0.2332 0.4926  1 Pm 3.21, 4 Sm 3.21-3.54, 2 Tm 3.22-3.50
Tm 0.2327 0.2327 0.9712  3 Pm 3.21, 2 Tm 3.22-3.50, 2 Sm 3.48-3.55
Tm 0.2451 0.7549 0.0000  3 Pm 3.14-3.34, 3 Sm 3.27-3.34
Tm 0.7549 0.2451 0.0000  3 Pm 3.14-3.34, 3 Sm 3.27-3.34
Tm 0.7673 0.7673 0.0288  3 Pm 3.21, 2 Tm 3.22-3.50, 2 Sm 3.48-3.55
Tm 0.7668 0.7668 0.5074  1 Pm 3.21, 4 Sm 3.21-3.54, 2 Tm 3.22-3.50
Tm 0.8619 0.1381 0.5000  7 Tm 3.54-3.63, 2 Sm 3.64, 4 Pm 3.64-3.80

- Crystal system: monoclinic
- Energy of formation: 5.66 eV/f.u.
- N(E_F): 30.93 states/eV per cell

Below is crystalline Te2RuSN at its relaxed geometry, with properties calculated at the PBE-GGA level.

Unit cell a=5.2381 b=5.2381 c=3.2844 alpha=90.00 beta=90.00 gamma=90.00
Closest atoms and distances in Å follow each position.
Atoms (fractional coordinates):
Te 0.0000 0.5000 0.0000  2 S 2.62
Te 0.5000 0.0000 0.0000  2 S 2.62
Ru 0.0000 0.0000 0.5000  8 Te 3.09, 2 Ru 3.28
S 0.5000 0.5000 0.0000  2 N 1.64
N 0.5000 0.5000 0.5000  2 S 1.64

- Crystal system: tetragonal
- Distance to the lowest polymorph of the same formula: 0.570 eV per atom
- Energy relative to the elements, uncorrected: 1.069 eV per atom
- N(E_F): 4.48 states/eV per cell

Below is crystalline KCd2O2 at its relaxed geometry, with properties calculated at the PBE-GGA level.

Unit cell a=6.2891 b=6.2891 c=6.4016 alpha=110.74 beta=110.74 gamma=106.00
Closest atoms and distances in Å follow each position.
Atoms (fractional coordinates):
K 0.1256 0.8744 0.7500  6 O 3.04-3.26, 4 Cd 3.35
K 0.8744 0.1256 0.2500  6 O 3.04-3.26, 4 Cd 3.35
Cd 0.2354 0.4848 0.9716  4 O 2.28-2.45
Cd 0.4848 0.2354 0.4716  4 O 2.28-2.45
Cd 0.5152 0.7646 0.5284  4 O 2.28-2.45
Cd 0.7646 0.5152 0.0284  4 O 2.28-2.45
O 0.1782 0.8218 0.2500  4 Cd 2.28-2.45
O 0.4283 0.5717 0.7500  4 Cd 2.28-2.44
O 0.5717 0.4283 0.2500  4 Cd 2.28-2.44
O 0.8218 0.1782 0.7500  4 Cd 2.28-2.45

- Crystal system: monoclinic
- Distance to the lowest polymorph of the same formula: 0.000 eV per atom
- Energy relative to the elements, uncorrected: -0.860 eV per atom
- N(E_F): 0.98 states/eV per cell

Below is crystalline Y3VRe at its relaxed geometry, with properties calculated at the PBE-GGA level.

Unit cell a=5.3677 b=5.3677 c=5.3677 alpha=90.00 beta=90.00 gamma=90.00
Closest atoms and distances in Å follow each position.
Atoms (fractional coordinates):
Y 0.0000 0.0000 0.5000  2 Re 2.68
Y 0.0000 0.5000 0.0000  2 Re 2.68
Y 0.5000 0.0000 0.0000  2 Re 2.68
V 0.5000 0.5000 0.5000  12 Y 3.80
Re 0.0000 0.0000 0.0000  6 Y 2.68

- Crystal system: cubic
- Energy of formation: 3.64 eV/f.u.
- Distance to the lowest polymorph of the same formula: 0.000 eV per atom
- N(E_F): 7.84 states/eV per cell

Below is crystalline Zn6GaMo at its relaxed geometry, with properties calculated at the PBE-GGA level.

Unit cell a=5.2243 b=5.2243 c=5.2844 alpha=92.24 beta=92.24 gamma=120.87
Closest atoms and distances in Å follow each position.
Atoms (fractional coordinates):
Zn 0.0231 0.0231 0.2378  6 Zn 2.51-2.80, 1 Ga 2.72
Zn 0.0368 0.5419 0.2395  6 Zn 2.53-2.82
Zn 0.4581 0.9632 0.7605  6 Zn 2.53-2.82
Zn 0.5419 0.0368 0.2395  6 Zn 2.53-2.82
Zn 0.9632 0.4581 0.7605  6 Zn 2.53-2.82
Zn 0.9769 0.9769 0.7622  6 Zn 2.51-2.80, 1 Ga 2.72
Ga 0.5000 0.5000 0.5000  2 Mo 2.64, 6 Zn 2.72-2.85
Mo 0.5000 0.5000 0.0000  2 Ga 2.64, 12 Zn 2.85-2.93

- Crystal system: monoclinic
- Energy of formation: 0.63 eV/f.u.
- N(E_F): 3.54 states/eV per cell

Record order is preserved below.
Uncorrected energy: -65.18, -14.99, -81.87, -87.55, -39.85, -63.24, -22.67, -34.29, -37.32, -20.87 eV per cell